[1]
Mg2TaSi after structural relaxation. Source: the Alexandria database, functional PBE-GGA.

Calculated values
- VASP energy (eV per atom) = -4.99
- formation energy from raw total energies (eV per atom) = 0.12

Cell: 5.4491 9.8959 2.8534 Å, 90.00 113.65 90.00°
Closest atoms and distances in Å follow each position.
Space group C2/m (No. 12)
Inequivalent atoms, fractional coordinates:
Mg 0.2500 0.2500 0.0000 x4  4 Mg 2.72-2.85, 2 Ta 2.91, 2 Si 2.91
Ta 0.0000 0.0000 0.5000 x2  2 Si 2.72, 2 Ta 2.85, 4 Mg 2.91
Si 0.0000 0.5000 0.5000 x2  2 Ta 2.72, 2 Si 2.85, 4 Mg 2.91


[2]
NbTcMo after structural relaxation. Source: the Alexandria database, functional PBE-GGA.

Calculated values
- VASP energy (eV per atom) = -10.51
- relative energy among the computed polymorphs (kJ/mol of formula units) = 23
- calculated formation energy (meV/atom) = -93

Cell: 4.4714 4.4714 2.7938 Å, 90.00 90.00 120.00°
Closest atoms and distances in Å follow each position.
Space group P3m1 (No. 156)
Inequivalent atoms, fractional coordinates:
Nb 0.0000 0.0000 0.0000 x1  3 Tc 2.75, 3 Mo 2.75, 2 Nb 2.79
Tc 0.3333 0.6667 0.3364 x1  3 Mo 2.74, 3 Nb 2.75, 2 Tc 2.79
Mo 0.6667 0.3333 0.6598 x1  3 Tc 2.74, 3 Nb 2.75, 2 Mo 2.79


[3]
Ta3NbW4 after structural relaxation. Source: the Alexandria database, functional PBE-GGA.

Calculated values
- VASP energy (eV per atom) = -12.02
- relative energy among the computed polymorphs (kJ/mol of formula units) = 197
- calculated formation energy (meV/atom) = 163

Cell: 9.2515 5.4988 5.4732 Å, 90.00 90.00 90.00°
Closest atoms and distances in Å follow each position.
Space group Pmn2_1 (No. 31)
Inequivalent atoms, fractional coordinates:
Ta 0.0000 0.2474 0.0000 x2  4 W 2.72-2.84, 2 Nb 2.74-2.76, 2 Ta 2.85
Ta 0.2493 0.9158 0.7536 x4  4 W 2.74-2.85, 1 Nb 2.84, 3 Ta 2.85-2.89
Nb 0.0000 0.7453 0.0028 x2  4 W 2.72-2.82, 4 Ta 2.74-2.84
W 0.0000 0.2531 0.5034 x2  4 Ta 2.72-2.85, 4 W 2.74-2.84
W 0.0000 0.7543 0.4992 x2  2 Nb 2.72-2.76, 4 W 2.74-2.84, 2 Ta 2.84
W 0.2494 0.5829 0.2519 x4  3 Ta 2.74-2.84, 1 Nb 2.82, 4 W 2.84-2.88


[4]
MgCoSb2I after structural relaxation. Source: the Alexandria database, functional PBE-GGA.

Calculated values
- VASP energy (eV per atom) = -3.40
- formation energy from raw total energies (eV per atom) = 0.30
- relative energy among the computed polymorphs (kJ/mol of formula units) = 0

Cell: 4.8739 4.8739 5.7793 Å, 90.00 90.00 90.00°
Closest atoms and distances in Å follow each position.
Space group P4/mmm (No. 123)
Inequivalent atoms, fractional coordinates:
Mg 0.0000 0.0000 0.0000 x1  4 I 3.45, 8 Sb 3.78
Co 0.5000 0.5000 0.5000 x1  4 Sb 2.44
Sb 0.0000 0.5000 0.5000 x2  2 Co 2.44
I 0.5000 0.5000 0.0000 x1  2 Co 2.89